# Sm3Er

A crystal of Sm3Er relaxed with PBEsol (SCAN, the Alexandria database).

The structure belongs to space group P6_3/mmc (No. 194); the cell edges are 7.1194, 7.1194 and 5.6587 Å and the angles 90.00°, 90.00° and 120.00°. The distinct sites, in fractional coordinates, are Sm at (0.1669, 0.3338, 0.2500) and Er at (0.3333, 0.6667, 0.7500).

For the total energy, the calculation gives -367.2 eV/cell. As for the volume: 248 Å³ per cell. For the formation energy, the calculation gives 0.020 eV per atom.

***

# BiMoO2

A crystal of BiMoO2 relaxed with PBEsol (SCAN, the Alexandria database).

The structure belongs to space group R-3m (No. 166, hexagonal axes); the cell edges are 3.3330, 3.3330 and 19.7950 Å and the angles 90.00°, 90.00° and 120.00°. The distinct sites, in fractional coordinates, are Bi at (0.0000, 0.0000, 0.0000), Mo at (0.0000, 0.0000, 0.5000) and O at (0.0000, 0.0000, 0.1221).

For the total energy, the calculation gives -391.7 eV/cell. The uncorrected formation energy comes out at -4.7 eV/f.u. As for the volume: 190 Å³ per cell.